[1]
Below is crystalline PuSiNiN at its relaxed geometry, with properties calculated at the PBE-GGA level.

Values from the calculation:
Its density of states at the Fermi level is 14.85 states/eV/cell. For the total DFT energy (no corrections), the calculation gives -75.29 eV for the cell shown. The calculation puts the uncorrected formation energy at -0.95 eV/atom.

a = 3.6681 Å, b = 3.6681 Å, c = 8.2618 Å
α = 90.00°, β = 90.00°, γ = 90.00°
With the nearest neighbours (Å) after each atom.
Positions (direct):
Pu: 0.0000 0.5000 0.8466  1 N 2.29
Pu: 0.5000 0.0000 0.1534  1 N 2.29
Si: 0.0000 0.5000 0.3404  1 N 1.79
Si: 0.5000 0.0000 0.6596  1 N 1.79
Ni: 0.0000 0.0000 0.5000  4 Si 2.26
Ni: 0.5000 0.5000 0.5000  4 Si 2.26
N: 0.5000 0.0000 0.8757  1 Si 1.79
N: 0.0000 0.5000 0.1243  1 Si 1.79

=====

[2]
Below is crystalline SrPuNiN3 at its relaxed geometry, with properties calculated at the PBE-GGA level.

Values from the calculation:
Its density of states at the Fermi level is 14.80 states/eV/cell. For the total DFT energy (no corrections), the calculation gives -101.38 eV for the cell shown. The calculation puts the uncorrected formation energy at -0.65 eV/atom.

a = 3.4920 Å, b = 7.2423 Å, c = 7.4262 Å
α = 102.66°, β = 90.00°, γ = 90.00°
With the nearest neighbours (Å) after each atom.
Positions (direct):
Sr: 0.7500 0.8062 0.7749  5 N 2.64-2.92
Sr: 0.2500 0.1938 0.2251  5 N 2.64-2.92
Pu: 0.2500 0.6679 0.1618  6 N 2.22-2.32
Pu: 0.7500 0.3321 0.8382  6 N 2.22-2.32
Ni: 0.2500 0.0771 0.5936  4 N 1.92-1.98
Ni: 0.7500 0.9229 0.4064  4 N 1.92-1.98
N: 0.2500 0.8178 0.4623  3 Ni 1.92-1.98
N: 0.7500 0.8522 0.1371  1 Ni 1.95
N: 0.7500 0.4528 0.1394  3 Pu 2.22-2.32
N: 0.7500 0.1822 0.5377  3 Ni 1.92-1.98
N: 0.2500 0.5472 0.8606  3 Pu 2.22-2.32
N: 0.2500 0.1478 0.8629  1 Ni 1.95

=====

[3]
Below is crystalline SrPuNiN2 at its relaxed geometry, with properties calculated at the PBE-GGA level.

Values from the calculation:
Its density of states at the Fermi level is 16.63 states/eV/cell. For the total DFT energy (no corrections), the calculation gives -82.82 eV for the cell shown. The calculation puts the uncorrected formation energy at -0.59 eV/atom.

a = 4.9267 Å, b = 5.4408 Å, c = 6.7971 Å
α = 90.35°, β = 90.00°, γ = 90.00°
With the nearest neighbours (Å) after each atom.
Positions (direct):
Sr: 0.0046 0.5000 0.7500  4 N 2.74
Sr: 0.9954 0.5000 0.2500  4 N 2.74
Pu: 0.4987 0.0000 0.2500  4 N 2.28
Pu: 0.5013 0.0000 0.7500  4 N 2.28
Ni: 0.0000 0.0000 0.0000  2 N 1.85
Ni: 0.0000 0.0000 0.5000  2 N 1.85
N: 0.7037 0.7902 0.9991  1 Ni 1.85
N: 0.7037 0.2098 0.5009  1 Ni 1.85
N: 0.2963 0.7902 0.4991  1 Ni 1.85
N: 0.2963 0.2098 0.0009  1 Ni 1.85

=====

[4]
Below is crystalline PuTa2NiN4 at its relaxed geometry, with properties calculated at the PBE-GGA level.

Values from the calculation:
Its density of states at the Fermi level is 18.21 states/eV/cell. For the total DFT energy (no corrections), the calculation gives -168.86 eV for the cell shown. The calculation puts the uncorrected formation energy at -0.91 eV/atom.

a = 3.1894 Å, b = 5.5421 Å, c = 10.7863 Å
α = 90.00°, β = 90.00°, γ = 106.72°
With the nearest neighbours (Å) after each atom.
Positions (direct):
Pu: 0.1091 0.2182 0.7500  6 N 2.31-2.55
Pu: 0.8909 0.7818 0.2500  6 N 2.31-2.55
Ta: 0.3707 0.7415 0.5558  6 N 2.06-2.26
Ta: 0.6293 0.2585 0.0558  6 N 2.06-2.26
Ta: 0.6293 0.2585 0.4442  6 N 2.06-2.26
Ta: 0.3707 0.7415 0.9442  6 N 2.06-2.26
Ni: 0.8398 0.6797 0.7500  4 N 1.93-1.98
Ni: 0.1602 0.3203 0.2500  4 N 1.93-1.98
N: 0.2710 0.5419 0.1084  1 Ni 1.93, 1 Ta 2.06
N: 0.7290 0.4581 0.6084  1 Ni 1.93, 1 Ta 2.06
N: 0.7290 0.4581 0.8916  1 Ni 1.93, 1 Ta 2.06
N: 0.2710 0.5419 0.3916  1 Ni 1.93, 1 Ta 2.06
N: 0.0000 0.0000 0.5000  4 Ta 2.19
N: 0.0000 0.0000 0.0000  4 Ta 2.19
N: 0.4512 0.9024 0.7500  2 Ni 1.98
N: 0.5488 0.0976 0.2500  2 Ni 1.98

=====

> Number 2 is which compound?

SrPuNiN3

=====

> The highest total DFT energy (no corrections) belongs to which entry?

PuSiNiN

=====

> Which value of total DFT energy (no corrections) does entry 4 give?

-168.86 eV for the cell shown

=====

> total DFT energy (no corrections) of number 4 (PuTa2NiN4)?

-168.86 eV for the cell shown